Density functional theory data (PBE with a Hubbard U) for a relaxed CdFeTe2O6 crystal.

Computed properties:
For the energy, the calculation gives -5.343 eV/atom. Its symmetry is C2/c (15).

Lattice parameters (Å, degrees): 7.1257 7.1700 7.1700 89.53 72.45 72.45
Site moments in Bohr magnetons follow the coordinates.
Fractional coordinates of all 20 atoms:
Cd  0.2500  0.9404  0.0596  0.00
Cd  0.7500  0.0596  0.9404  0.00
Fe  0.2500  0.2750  0.7250  3.76
Fe  0.7500  0.7250  0.2750  3.76
Te  0.2137  0.8323  0.5612  0.01
Te  0.2863  0.4388  0.1677  0.01
Te  0.7863  0.1677  0.4388  0.01
Te  0.7137  0.5612  0.8323  0.01
O  0.1373  0.0205  0.7854  0.01
O  0.3627  0.2146  0.9795  0.01
O  0.8627  0.9795  0.2146  0.01
O  0.6373  0.7854  0.0205  0.01
O  0.1870  0.0256  0.3776  0.01
O  0.3130  0.6224  0.9744  0.01
O  0.8130  0.9744  0.6224  0.01
O  0.6870  0.3776  0.0256  0.01
O  0.0045  0.5035  0.7599  0.02
O  0.4955  0.2401  0.4965  0.02
O  0.9955  0.4965  0.2401  0.02
O  0.5045  0.7599  0.5035  0.02